Entry 1:
A plane-wave DFT calculation with PBE-GGA was carried out for a relaxed InOsRu3 crystal.

Cell lengths 4.6946, 4.6946, 4.6946 Å; angles 90.00, 90.00, 90.00 degrees
Sites, in units of the cell vectors:
In 0.0000 0.0000 0.0000
Os 0.5000 0.5000 0.5000
Ru 0.0000 0.5000 0.5000
Ru 0.5000 0.0000 0.5000
Ru 0.5000 0.5000 0.0000

Values from the calculation:
ρ in g cm⁻³: 9.8
Formation energy in eV per atom: 1.447
Energy relative to the lowest polymorph listed for this composition in eV/f.u.: 0.00
Final energy in eV per cell: -34.559
Space group: Pm-3m, No. 221

Entry 2:
A plane-wave DFT calculation with PBE-GGA was carried out for a relaxed InOsRu2 crystal.

Cell lengths 4.0657, 4.0657, 3.7626 Å; angles 90.00, 90.00, 90.00 degrees
Sites, in units of the cell vectors:
In 0.0000 0.0000 0.0000
Os 0.5000 0.5000 0.0000
Ru 0.0000 0.5000 0.5000
Ru 0.5000 0.0000 0.5000

Values from the calculation:
ρ in g cm⁻³: 13.5
Formation energy in eV per atom: 0.489
Final energy in eV per cell: -30.564
Space group: P4/mmm, No. 123

Entry 3:
A plane-wave DFT calculation with PBE-GGA was carried out for a relaxed InOsRu2 crystal.

Cell lengths 2.8035, 2.8035, 9.2357 Å; angles 90.00, 90.00, 118.47 degrees
Sites, in units of the cell vectors:
In 0.0000 0.0000 0.0000
Os 0.5000 0.5000 0.7352
Ru 0.0000 0.0000 0.4966
Ru 0.5000 0.5000 0.2566

Values from the calculation:
ρ in g cm⁻³: 13.2
Formation energy in eV per atom: 0.650
Final energy in eV per cell: -29.918
Space group: Cmm2, No. 35

Entry 4:
A plane-wave DFT calculation with PBE-GGA was carried out for a relaxed InOsRu crystal.

Cell lengths 2.8635, 2.8635, 6.8275 Å; angles 90.00, 90.00, 120.00 degrees
Sites, in units of the cell vectors:
In 0.0000 0.0000 0.0000
Os 0.6667 0.3333 0.3558
Ru 0.3333 0.6667 0.6528

Values from the calculation:
ρ in g cm⁻³: 13.9
Formation energy in eV per atom: 0.340
Energy relative to the lowest polymorph listed for this composition in eV/f.u.: 0.49
Final energy in eV per cell: -22.225
Space group: P3m1, No. 156

Entry 5:
A plane-wave DFT calculation with PBE-GGA was carried out for a relaxed In2OsRu crystal.

Cell lengths 2.9233, 2.9233, 8.6156 Å; angles 90.00, 90.00, 90.00 degrees
Sites, in units of the cell vectors:
In 0.0000 0.0000 0.0000
In 0.5000 0.5000 0.3339
Os 0.0000 0.0000 0.5763
Ru 0.5000 0.5000 0.7620

Values from the calculation:
ρ in g cm⁻³: 11.7
Formation energy in eV per atom: 0.219
Energy relative to the lowest polymorph listed for this composition in eV/f.u.: 0.25
Final energy in eV per cell: -25.106
Space group: P4mm, No. 99

Entry 6:
A plane-wave DFT calculation with PBE-GGA was carried out for a relaxed In2OsRu crystal.

Cell lengths 2.9662, 2.9662, 8.9878 Å; angles 90.00, 90.00, 117.27 degrees
Sites, in units of the cell vectors:
In 0.0000 0.0000 0.2468
In 0.0000 0.0000 0.7532
Os 0.5000 0.5000 0.5000
Ru 0.5000 0.5000 0.0000

Values from the calculation:
ρ in g cm⁻³: 12.3
Formation energy in eV per atom: 0.541
Energy relative to the lowest polymorph listed for this composition in eV/f.u.: 1.53
Final energy in eV per cell: -23.820
Space group: Cmmm, No. 65

Entry 7:
A plane-wave DFT calculation with PBE-GGA was carried out for a relaxed InOsRu2 crystal.

Cell lengths 4.7825, 4.7825, 2.8303 Å; angles 90.00, 90.00, 107.42 degrees
Sites, in units of the cell vectors:
In 0.0000 0.0000 0.0000
Os 0.5000 0.5000 0.0000
Ru 0.0000 0.5000 0.5000
Ru 0.5000 0.0000 0.5000

Values from the calculation:
ρ in g cm⁻³: 13.6
Formation energy in eV per atom: 0.380
Final energy in eV per cell: -31.001
Space group: Cmmm, No. 65

Entry 8:
A plane-wave DFT calculation with PBE-GGA was carried out for a relaxed InOs4Ru crystal.

Cell lengths 5.1743, 5.1743, 5.1743 Å; angles 60.00, 60.00, 60.00 degrees
Sites, in units of the cell vectors:
In 0.0000 0.0000 0.0000
Os 0.1269 0.6244 0.6244
Os 0.6244 0.1269 0.6244
Os 0.6244 0.6244 0.1269
Os 0.6244 0.6244 0.6244
Ru 0.2500 0.2500 0.2500

Values from the calculation:
ρ in g cm⁻³: 16.6
Formation energy in eV per atom: 0.797
Final energy in eV per cell: -52.150
Space group: F-43m, No. 216

Entry 9:
A plane-wave DFT calculation with PBE-GGA was carried out for a relaxed InOsRu2 crystal.

Cell lengths 4.7603, 4.7603, 4.9528 Å; angles 98.98, 98.98, 34.36 degrees
Sites, in units of the cell vectors:
In 0.0000 0.0000 0.0000
Os 0.5000 0.5000 0.5000
Ru 0.2416 0.2416 0.7227
Ru 0.7584 0.7584 0.2773

Values from the calculation:
ρ in g cm⁻³: 13.5
Formation energy in eV per atom: 0.321
Final energy in eV per cell: -31.236
Space group: C2/m, No. 12

Entry 10:
A plane-wave DFT calculation with PBE-GGA was carried out for a relaxed In2OsRu crystal.

Cell lengths 5.9392, 5.9392, 5.9392 Å; angles 102.22, 102.22, 125.23 degrees
Sites, in units of the cell vectors:
In 0.1244 0.1250 0.4994
In 0.3750 0.8756 0.0006
In 0.6256 0.6250 0.5006
In 0.8750 0.3744 0.9994
Os 0.2500 0.7500 0.5000
Os 0.5000 0.5000 0.0000
Ru 0.0000 0.0000 0.0000
Ru 0.7500 0.2500 0.5000

Values from the calculation:
ρ in g cm⁻³: 11.4
Formation energy in eV per atom: 0.922
Energy relative to the lowest polymorph listed for this composition in eV/f.u.: 3.06
Final energy in eV per cell: -44.586
Space group: I-42d, No. 122

Entry 11:
A plane-wave DFT calculation with PBE-GGA was carried out for a relaxed In2OsRu crystal.

Cell lengths 8.9622, 8.9622, 8.9622 Å; angles 19.39, 19.39, 19.39 degrees
Sites, in units of the cell vectors:
In 0.2489 0.2489 0.2489
In 0.7511 0.7511 0.7511
Os 0.0000 0.0000 0.0000
Ru 0.5000 0.5000 0.5000

Values from the calculation:
ρ in g cm⁻³: 12.5
Formation energy in eV per atom: 0.467
Energy relative to the lowest polymorph listed for this composition in eV/f.u.: 1.24
Final energy in eV per cell: -24.114
Space group: R-3m, No. 166

Entry 12:
A plane-wave DFT calculation with PBE-GGA was carried out for a relaxed InOsRu2 crystal.

Cell lengths 9.1371, 9.1371, 9.1371 Å; angles 17.81, 17.81, 17.81 degrees
Sites, in units of the cell vectors:
In 0.0000 0.0000 0.0000
Os 0.5000 0.5000 0.5000
Ru 0.2452 0.2452 0.2452
Ru 0.7548 0.7548 0.7548

Values from the calculation:
ρ in g cm⁻³: 13.5
Formation energy in eV per atom: 0.307
Final energy in eV per cell: -31.291
Space group: R-3m, No. 166

Entry 13:
A plane-wave DFT calculation with PBE-GGA was carried out for a relaxed InOsRu2 crystal.

Cell lengths 4.9440, 4.9440, 4.9440 Å; angles 133.87, 133.87, 67.29 degrees
Sites, in units of the cell vectors:
In 0.0000 0.0000 0.0000
Os 0.2500 0.7500 0.5000
Ru 0.5000 0.5000 0.0000
Ru 0.7500 0.2500 0.5000

Values from the calculation:
ρ in g cm⁻³: 13.6
Formation energy in eV per atom: 0.373
Final energy in eV per cell: -31.028
Space group: I-4m2, No. 119

Entry 14:
A plane-wave DFT calculation with PBE-GGA was carried out for a relaxed In2OsRu crystal.

Cell lengths 9.4378, 9.4378, 9.4378 Å; angles 18.19, 18.19, 18.19 degrees
Sites, in units of the cell vectors:
In 0.0000 0.0000 0.0000
In 0.2360 0.2360 0.2360
Os 0.4857 0.4857 0.4857
Ru 0.7485 0.7485 0.7485

Values from the calculation:
ρ in g cm⁻³: 12.1
Formation energy in eV per atom: 0.375
Energy relative to the lowest polymorph listed for this composition in eV/f.u.: 0.87
Final energy in eV per cell: -24.481
Space group: R3m, No. 160

Entry 15:
A plane-wave DFT calculation with PBE-GGA was carried out for a relaxed In2OsRu crystal.

Cell lengths 4.5925, 4.5925, 3.2202 Å; angles 90.00, 90.00, 90.00 degrees
Sites, in units of the cell vectors:
In 0.0000 0.5000 0.0000
In 0.5000 0.0000 0.0000
Os 0.0000 0.0000 0.5000
Ru 0.5000 0.5000 0.5000

Values from the calculation:
ρ in g cm⁻³: 12.7
Formation energy in eV per atom: 0.349
Energy relative to the lowest polymorph listed for this composition in eV/f.u.: 0.77
Final energy in eV per cell: -24.586
Space group: P4/mmm, No. 123

Entry 16:
A plane-wave DFT calculation with PBE-GGA was carried out for a relaxed InOsRu2 crystal.

Cell lengths 2.8183, 3.7548, 5.9011 Å; angles 90.00, 90.00, 90.00 degrees
Sites, in units of the cell vectors:
In 0.0000 0.0000 0.0000
Os 0.0000 0.0000 0.5000
Ru 0.5000 0.5000 0.2752
Ru 0.5000 0.5000 0.7248

Values from the calculation:
ρ in g cm⁻³: 13.5
Formation energy in eV per atom: 0.250
Final energy in eV per cell: -31.520
Space group: Pmmm, No. 47

Entry 17:
A plane-wave DFT calculation with PBE-GGA was carried out for a relaxed InOsRu2 crystal.

Cell lengths 4.7975, 4.7975, 4.7975 Å; angles 130.86, 130.86, 72.03 degrees
Sites, in units of the cell vectors:
In 0.0000 0.0000 0.0000
Os 0.5000 0.5000 0.0000
Ru 0.2500 0.7500 0.5000
Ru 0.7500 0.2500 0.5000

Values from the calculation:
ρ in g cm⁻³: 13.6
Formation energy in eV per atom: 0.365
Final energy in eV per cell: -31.061
Space group: I4/mmm, No. 139

Entry 18:
A plane-wave DFT calculation with PBE-GGA was carried out for a relaxed InOsRu crystal.

Cell lengths 7.3781, 7.0977, 2.8639 Å; angles 84.15, 73.14, 22.71 degrees
Sites, in units of the cell vectors:
In 0.0000 0.0000 0.0000
Os 0.6757 0.6757 0.3243
Ru 0.3292 0.3292 0.6708

Values from the calculation:
ρ in g cm⁻³: 13.6
Formation energy in eV per atom: 0.629
Energy relative to the lowest polymorph listed for this composition in eV/f.u.: 1.36
Final energy in eV per cell: -21.356
Space group: Fmm2, No. 42

Entry 19:
A plane-wave DFT calculation with PBE-GGA was carried out for a relaxed In2OsRu crystal.

Cell lengths 2.9620, 4.4803, 5.3050 Å; angles 90.00, 92.85, 90.00 degrees
Sites, in units of the cell vectors:
In 0.2497 0.0000 0.2483
In 0.7503 0.0000 0.7517
Os 0.0000 0.5000 0.5000
Ru 0.5000 0.5000 0.0000

Values from the calculation:
ρ in g cm⁻³: 12.3
Formation energy in eV per atom: 0.541
Energy relative to the lowest polymorph listed for this composition in eV/f.u.: 1.54
Final energy in eV per cell: -23.817
Space group: P2/m, No. 10

Entry 20:
A plane-wave DFT calculation with PBE-GGA was carried out for a relaxed InOsRu crystal.

Cell lengths 5.0834, 5.0834, 5.0834 Å; angles 147.14, 136.37, 55.68 degrees
Sites, in units of the cell vectors:
In 0.0000 0.0000 0.0000
Os 0.6839 0.6839 0.0000
Ru 0.3162 0.3162 0.0000

Values from the calculation:
ρ in g cm⁻³: 13.8
Formation energy in eV per atom: 0.392
Energy relative to the lowest polymorph listed for this composition in eV/f.u.: 0.64
Final energy in eV per cell: -22.069
Space group: Imm2, No. 44